Here is a relaxed structure of Hf2MnRhC from the Alexandria database. Energies are from PBE.

Cell lengths 4.524, 4.524, 3.638 Å; angles 90.00, 90.00, 90.00 degrees
Fractional coordinates of all 5 atoms:
Hf1 0.000 0.500 0.000
Hf2 0.500 0.000 0.000
Mn1 0.000 0.000 0.500
Rh1 0.500 0.500 0.500
C1 0.000 0.000 0.000

Here is a relaxed structure of HfMn2RuC from the Alexandria database. Energies are from PBE.

Cell lengths 3.892, 3.892, 4.118 Å; angles 90.00, 90.00, 90.00 degrees
Fractional coordinates of all 5 atoms:
Hf1 0.000 0.000 0.000
Mn1 0.000 0.500 0.500
Mn2 0.500 0.000 0.500
Ru1 0.500 0.500 0.000
C1 0.500 0.500 0.500

Here is a relaxed structure of Hf2TaMnC from the Alexandria database. Energies are from PBE.

Cell lengths 4.769, 4.769, 4.365 Å; angles 90.00, 90.00, 90.00 degrees
Fractional coordinates of all 5 atoms:
Hf1 0.000 0.500 0.000
Hf2 0.500 0.000 0.000
Ta1 0.000 0.000 0.500
Mn1 0.000 0.000 0.000
C1 0.500 0.500 0.500

Here is a relaxed structure of HfMn2TcC from the Alexandria database. Energies are from PBE.

Cell lengths 3.900, 3.900, 4.176 Å; angles 90.00, 90.00, 90.00 degrees
Fractional coordinates of all 5 atoms:
Hf1 0.000 0.000 0.000
Mn1 0.000 0.500 0.500
Mn2 0.500 0.000 0.500
Tc1 0.500 0.500 0.000
C1 0.500 0.500 0.500

Number 1: E_form -0.575 eV per atom, Fermi-level density of states 0.320 states/eV/atom. Number 2: E_form -0.243 eV per atom, Fermi-level density of states 0.741 states/eV/atom. Number 3: E_form 1.572 eV per atom, Fermi-level density of states 1.136 states/eV/atom. Number 4: E_form -0.207 eV per atom, Fermi-level density of states 0.731 states/eV/atom.